# ScTl2Pb

An optimized crystal structure of ScTl2Pb (GGA-PBEsol, Alexandria via LeMat-Bulk).

The space group is Pmmm (No. 47) and the conventional cell measures 3.516, 5.306 and 5.442 Å, with angles of 90.00, 90.00 and 90.00 degrees. The asymmetric unit holds Sc at (0.000, 0.000, 0.000), Tl at (0.000, 0.500, 0.500), Tl at (0.500, 0.000, 0.500) and Pb at (0.500, 0.500, 0.000).

The volume comes out at 25.38 Å³ per atom. Its energy of formation from the pure elements is -0.13 eV per atom.